(1)
{
  "formula": "ErPu2OsC4",
  "functional": "PBE",
  "state": "optimized geometry",
  "e_form_ev_per_atom": 0.107,
  "e_tot_ev_per_cell": -160.99,
  "cell": [[1.7545, -5.6834, 0.0000], [1.7545, 5.6834, 0.0000], [0.0000, 0.0000, 12.0369]],
  "species": ["Er", "Er", "Pu", "Pu", "Pu", "Pu", "Os", "Os", "C", "C", "C", "C", "C", "C", "C", "C"],
  "frac_coords": [[0.1165, 0.8835, 0.7500], [0.8835, 0.1165, 0.2500], [0.3690, 0.6310, 0.5389], [0.3690, 0.6310, 0.9612], [0.6310, 0.3690, 0.0388], [0.6310, 0.3690, 0.4612], [0.1466, 0.8534, 0.2500], [0.8534, 0.1466, 0.7500], [0.0000, 0.0000, 0.0000], [0.0000, 0.0000, 0.5000], [0.2587, 0.7413, 0.1276], [0.2587, 0.7413, 0.3724], [0.4423, 0.5577, 0.7500], [0.5577, 0.4423, 0.2500], [0.7413, 0.2587, 0.6276], [0.7413, 0.2587, 0.8724]]
}


(2)
{
  "formula": "Na4PuTa3N8",
  "functional": "PBE",
  "state": "optimized geometry",
  "raw_formation_energy_ev_per_atom": -0.858,
  "e_tot_ev_per_cell": -135.50,
  "cell": [[3.2117, 1.8543, 5.6995], [-3.2117, 1.8543, 5.6995], [0.0000, -3.7086, 5.6995]],
  "species": ["Na", "Na", "Na", "Na", "Pu", "Ta", "Ta", "Ta", "N", "N", "N", "N", "N", "N", "N", "N"],
  "frac_coords": [[0.0000, 0.0000, 0.0000], [0.0000, 0.5000, 0.5000], [0.5000, 0.0000, 0.5000], [0.5000, 0.5000, 0.0000], [0.5000, 0.5000, 0.5000], [0.0000, 0.0000, 0.5000], [0.0000, 0.5000, 0.0000], [0.5000, 0.0000, 0.0000], [0.2200, 0.7354, 0.7354], [0.2310, 0.2310, 0.2310], [0.2646, 0.2646, 0.7800], [0.2646, 0.7800, 0.2646], [0.7354, 0.2200, 0.7354], [0.7354, 0.7354, 0.2200], [0.7690, 0.7690, 0.7690], [0.7800, 0.2646, 0.2646]]
}


Number 1: DOS at the Fermi energy 1.7391 states/eV/atom. Number 2: DOS at the Fermi energy 0.4757 states/eV/atom.